BeSbH2Os | PBE | optimized geometry

Cell: 3.537 5.269 3.537 Å, 90.00 90.00 90.00°
Element x y z (fractional)
Sb  0.000  0.500  0.000
Os  0.000  0.000  0.000
H  0.000  0.000  0.500
H  0.500  0.000  0.000
Be  0.500  0.500  0.500

Output
Its space group is No. 123. The volume comes out at 13.18 Å³ per atom. The total energy comes out at -4.47 eV per atom. The value obtained for the density of states at the Fermi level is 2.09 states/eV/cell.